BiMo2F after structural relaxation. Source: Alexandria via LeMat-Bulk, functional PBE with a Hubbard U.

Calculated values
As for the volume: 27.1 Å³ per atom. The calculation puts the total moment at 8.00 μB/f.u. The electronic total energy comes out at -4.6148 eV per atom. Its space-group type is I-42d, No. 122.

Unit cell a=5.607 b=5.607 c=7.956 alpha=69.37 beta=69.37 gamma=90.00
Each line ends with the local moment (μB).
Fractional coordinates of all 8 atoms:
Mo (0.375, 0.475, 0.750)  3.73
Mo (0.875, 0.775, 0.750)  3.71
Mo (0.525, 0.125, 0.250)  3.73
Mo (0.225, 0.625, 0.250)  3.73
F (0.250, 0.750, 0.500)  0.02
F (0.500, 0.500, 0.000)  0.02
Bi (0.000, 0.000, 0.000)  -0.45
Bi (0.750, 0.250, 0.500)  -0.45